Record 1
Entry from Alexandria via LeMat-Bulk: a geometry-optimized BaSrAl2Pd structure (PBE-GGA).

Structure (extended XYZ):
```
5
Lattice="5.058 0.000 0.000 0.000 5.058 0.000 0.000 0.000 5.610" Properties=species:S:1:pos:R:3 pbc="T T T"
Ba 0.000 0.000 0.000
Sr 2.529 2.529 0.000
Al 0.000 2.529 2.805
Al 2.529 0.000 2.805
Pd 2.529 2.529 2.805
```

Calculated values
total magnetization: 0.00 μB/cell
energy of formation from the pure elements: -1.3 eV per formula unit
uncorrected energy: -3.51 eV/atom


Record 2
Entry from Alexandria via LeMat-Bulk: a geometry-optimized Sr2CdBr structure (PBE-GGA).

Structure (extended XYZ):
```
8
Lattice="-4.275 4.275 4.399 4.275 -4.275 4.399 4.275 4.275 -4.399" Properties=species:S:1:pos:R:3 pbc="T T T"
Sr 6.412 2.005 -1.100
Sr 2.005 2.137 1.100
Sr -2.137 2.270 3.299
Sr 2.270 2.137 5.498
Cd 4.275 0.000 2.199
Cd 0.000 0.000 4.399
Br 0.000 0.000 0.000
Br 0.000 4.275 2.199
```

Calculated values
polymorph energy (0 for the lowest one): 0.161 eV/atom
total magnetization: 0.00 μB/cell
uncorrected energy: -2.20 eV/atom


Record 3
Entry from Alexandria via LeMat-Bulk: a geometry-optimized Na2BPb structure (PBE-GGA).

Structure (extended XYZ):
```
4
Lattice="0.000 3.531 3.531 3.531 0.000 3.531 3.531 3.531 0.000" Properties=species:S:1:pos:R:3 pbc="T T T"
Na 1.765 1.765 1.765
Na 5.296 5.296 5.296
B 0.000 0.000 0.000
Pb 3.531 3.531 3.531
```

Calculated values
polymorph energy (0 for the lowest one): 0.228 eV/atom
total magnetization: 0.00 μB/cell
energy of formation from the pure elements: 3.4 eV per formula unit
uncorrected energy: -2.40 eV/atom


Record 4
Entry from Alexandria via LeMat-Bulk: a geometry-optimized U2RuPt structure (PBE-GGA).

Structure (extended XYZ):
```
4
Lattice="4.211 0.000 0.000 0.000 4.211 0.000 0.000 0.000 4.193" Properties=species:S:1:pos:R:3 pbc="T T T"
U 0.000 2.106 0.000
U 2.106 0.000 0.000
Ru 0.000 0.000 2.097
Pt 2.106 2.106 2.097
```

Calculated values
total magnetization: 0.86 μB/cell
energy of formation from the pure elements: -1.1 eV per formula unit
uncorrected energy: -9.74 eV/atom


Ordered density of states at the Fermi level results: 1.7 2.4 3.0 7.6; unit states/eV/f.u..